# 1
Density functional theory data (PBE) for crystalline La2InI at its relaxed geometry.

Cell: 3.7946 3.7946 8.7418 Å, 90.00 90.00 90.00°
Closest atoms and distances in Å follow each position.
Space group P4/mmm (No. 123)
Symmetry-distinct sites (fractional):
La: 0.0000 0.0000 0.2381 [2 per cell]  4 In 3.40, 4 I 3.53, 4 La 3.79
In: 0.5000 0.5000 0.0000 [1 per cell]  8 La 3.40, 4 In 3.79
I: 0.5000 0.5000 0.5000 [1 per cell]  8 La 3.53, 4 I 3.79

Results
Fermi-level density of states = 3.3 states/eV per cell
Relative energy among the computed polymorphs = 0 meV/atom
M_tot = 0.00 μB per formula unit
E_form (uncorrected) = -747 meV per atom

# 2
Density functional theory data (PBE) for crystalline LaMg2Ga4 at its relaxed geometry.

Cell: 4.2221 4.3324 16.9995 Å, 90.00 90.00 90.00°
Closest atoms and distances in Å follow each position.
Space group Immm (No. 71)
Symmetry-distinct sites (fractional):
La: 0.0000 0.0000 0.0000 [2 per cell]  12 Ga 3.28-3.41
Mg: 0.0000 0.5000 0.3158 [4 per cell]  3 Ga 2.73-2.87
Ga: 0.0000 0.0000 0.4261 [4 per cell]  3 Ga 2.51-2.52
Ga: 0.0000 0.5000 0.1552 [4 per cell]  2 Ga 2.52, 1 Mg 2.73

Results
Total DFT energy (no corrections) = -45.8 eV for the cell shown
Fermi-level density of states = 7.7 states/eV per cell
M_tot = 0.00 μB per formula unit

# 3
Density functional theory data (PBE) for crystalline Th3Ge2Pt4 at its relaxed geometry.

Cell: 10.9318 4.4089 8.7844 Å, 90.00 113.33 90.00°
Closest atoms and distances in Å follow each position.
Space group C2/m (No. 12)
Symmetry-distinct sites (fractional):
Th: 0.0000 0.0000 0.0000 [2 per cell]  6 Pt 3.03-3.32
Th: 0.1411 0.5000 0.6896 [4 per cell]  8 Pt 3.08-3.43, 4 Ge 3.17-3.27
Ge: 0.1555 0.5000 0.3248 [4 per cell]  3 Pt 2.54-2.55
Pt: 0.0844 0.0000 0.4072 [4 per cell]  2 Ge 2.54
Pt: 0.2053 0.5000 0.0650 [4 per cell]  1 Ge 2.55, 2 Pt 2.83

Results
Total DFT energy (no corrections) = -131.6 eV for the cell shown
Fermi-level density of states = 9.6 states/eV per cell
M_tot = 0.00 μB per formula unit

# 4
Density functional theory data (PBE) for crystalline ErMg3Rh at its relaxed geometry.

Cell: 5.3083 5.7977 7.0948 Å, 90.00 96.41 90.00°
Closest atoms and distances in Å follow each position.
Space group P2_1/m (No. 11)
Symmetry-distinct sites (fractional):
Er: 0.1302 0.2500 0.4044 [2 per cell]  2 Rh 2.76-2.87
Mg: 0.0718 0.7500 0.1037 [2 per cell]  1 Rh 2.77
Mg: 0.4120 0.5016 0.7895 [4 per cell]  2 Rh 2.72-2.76, 3 Mg 2.88-3.03
Rh: 0.3391 0.7500 0.4625 [2 per cell]  5 Mg 2.72-2.77, 2 Er 2.76-2.87

Results
Total DFT energy (no corrections) = -37.3 eV for the cell shown
Fermi-level density of states = 5.2 states/eV per cell
M_tot = 0.00 μB per formula unit

# 5
Density functional theory data (PBE) for crystalline Dy2YGa3 at its relaxed geometry.

Cell: 5.0589 15.1751 3.5650 Å, 90.00 90.00 90.00°
Closest atoms and distances in Å follow each position.
Space group Cmmm (No. 65)
Symmetry-distinct sites (fractional):
Dy: 0.0000 0.1667 0.0000 [4 per cell]  8 Ga 3.09
Y: 0.0000 0.5000 0.0000 [2 per cell]  8 Ga 3.09-3.10
Ga: 0.0000 0.0000 0.5000 [2 per cell]  4 Y 3.09, 4 Dy 3.09
Ga: 0.0000 0.3331 0.5000 [4 per cell]  6 Dy 3.09, 2 Y 3.10

Results
Total DFT energy (no corrections) = -56.6 eV for the cell shown
Fermi-level density of states = 4.2 states/eV per cell
M_tot = 0.00 μB per formula unit

# 6
Density functional theory data (PBE) for crystalline Li2HoAg2Sn2 at its relaxed geometry.

Cell: 4.6570 4.6570 23.3577 Å, 90.00 90.00 120.00°
Closest atoms and distances in Å follow each position.
Space group R-3m (No. 166, hexagonal axes)
Symmetry-distinct sites (fractional):
Li: 0.0000 0.0000 0.1394 [6 per cell]  3 Ag 2.83, 4 Sn 2.87-3.13, 3 Li 2.97
Ho: 0.0000 0.0000 0.0000 [3 per cell]  6 Sn 3.16, 2 Li 3.26
Ag: 0.0000 0.0000 0.4354 [6 per cell]  3 Sn 2.78, 3 Li 2.83, 1 Ag 3.02
Sn: 0.0000 0.0000 0.2623 [6 per cell]  3 Ag 2.78, 1 Li 2.87

Results
Total DFT energy (no corrections) = -74.4 eV for the cell shown
Fermi-level density of states = 10.4 states/eV per cell
M_tot = 0.00 μB per formula unit